VASP calculation (PBE) on an optimized crystal structure of ZrTaTl2.

The structure in POSCAR format:
```
ZrTaTl2
1.0
-6.350 -4.233 1.960
2.864 -6.151 -4.007
-0.322 -6.164 1.484
Tl Zr Ta
4 2 2
Direct
0.634 0.125 0.250
0.116 0.625 0.250
0.375 0.366 0.750
0.875 0.884 0.750
0.500 0.500 0.000
0.250 0.750 0.500
0.000 0.000 0.000
0.750 0.250 0.500
```

## Properties
- E_form: 0.576 eV/atom
- Space group: No. 122
- Mass density: 12.0 g/cm3

VASP calculation (PBE) on an optimized crystal structure of ZrTa2Tl.

The structure in POSCAR format:
```
ZrTa2Tl
1.0
5.825 -0.002 0.019
-2.802 5.106 0.019
0.599 1.011 2.742
Ta Tl Zr
2 1 1
Direct
0.000 0.000 0.000
0.500 0.500 0.000
0.500 0.000 0.500
0.000 0.500 0.500
```

## Properties
- E_form: 0.294 eV/atom
- Space group: No. 12
- Mass density: 13.4 g/cm3

VASP calculation (PBE) on an optimized crystal structure of ZrTa2Tl.

The structure in POSCAR format:
```
ZrTa2Tl
1.0
-3.289 -2.542 2.878
2.297 -1.178 1.584
0.148 3.982 3.686
Ta Tl Zr
2 1 1
Direct
0.000 0.025 0.975
0.000 0.475 0.525
0.500 0.250 0.250
0.500 0.750 0.750
```

## Properties
- E_form: 0.271 eV/atom
- Space group: No. 10
- Mass density: 13.2 g/cm3

VASP calculation (PBE) on an optimized crystal structure of ZrTaTl2.

The structure in POSCAR format:
```
ZrTaTl2
1.0
-3.734 -3.186 1.900
2.074 -1.314 1.874
-0.950 3.519 4.032
Ta Tl Zr
1 2 1
Direct
0.500 0.729 0.770
0.000 0.059 0.968
0.500 0.166 0.280
0.000 0.546 0.482
```

## Properties
- E_form: 0.376 eV/atom
- Space group: No. 6
- Mass density: 12.8 g/cm3